Model i:
ZrAlTl: optimized geometry, PBE.

Geometry as extended XYZ:
```
3
Lattice="0.0000 3.3766 3.3766 3.3766 0.0000 3.3766 3.3766 3.3766 0.0000" Properties=species:S:1:pos:R:3 pbc="T T T"
Al 1.6883 1.6883 1.6883
Tl 5.0649 5.0649 5.0649
Zr 0.0000 0.0000 0.0000
```

Properties
Total moment: 0.01 μB/f.u.

---

Model ii:
ZrAlTl: optimized geometry, PBE.

Geometry as extended XYZ:
```
3
Lattice="0.0000 3.3079 3.3079 3.3079 0.0000 3.3079 3.3079 3.3079 0.0000" Properties=species:S:1:pos:R:3 pbc="T T T"
Al 1.6540 1.6540 1.6540
Tl 0.0000 0.0000 0.0000
Zr 4.9619 4.9619 4.9619
```

Properties
Total moment: 0.02 μB/f.u.

---

Which of them is the most stable? Correct choice: model i.

---

Model i:
YTmAl: optimized geometry, PBE.

Geometry as extended XYZ:
```
3
Lattice="-4.5860 -2.1244 0.0107 -2.7387 -0.0787 4.2471 -4.1245 2.8935 0.4012" Properties=species:S:1:pos:R:3 pbc="T T T"
Al -2.8623 0.1726 1.1648
Tm -8.5869 0.5178 3.4942
Y 0.0000 0.0000 0.0000
```

Properties
Total moment: 0.01 μB/f.u.

---

Model ii:
YTmAl: optimized geometry, PBE.

Geometry as extended XYZ:
```
12
Lattice="6.5026 0.0000 0.0000 0.0000 5.0692 0.0000 0.0000 0.0000 9.4274" Properties=species:S:1:pos:R:3 pbc="T T T"
Al 5.1693 1.2673 0.9762
Al 1.9180 1.2673 3.7375
Al 4.5846 3.8019 5.6899
Al 1.3333 3.8019 8.4512
Tm 0.1797 3.8019 1.9864
Tm 3.4310 3.8019 2.7273
Tm 3.0716 1.2673 6.7002
Tm 6.3229 1.2673 7.4410
Y 2.0233 1.2673 0.6902
Y 5.2746 1.2673 4.0235
Y 1.2280 3.8019 5.4039
Y 4.4792 3.8019 8.7373
```

Properties
Total moment: 0.00 μB/f.u.

---

Which of them is the most stable? Correct choice: model ii.

---

Model i:
ZrUAl: optimized geometry, PBE.

Geometry as extended XYZ:
```
3
Lattice="-4.7136 -0.4590 -0.0887 -2.7615 3.7500 0.8652 -2.5045 1.9575 -3.5117" Properties=species:S:1:pos:R:3 pbc="T T T"
Al 0.0000 0.0000 0.0000
U -2.4949 1.3121 -0.6838
Zr -7.4847 3.9363 -2.0515
```

Properties
Total moment: 2.77 μB/f.u.

---

Model ii:
ZrUAl: optimized geometry, PBE.

Geometry as extended XYZ:
```
3
Lattice="-1.0658 -3.2923 3.3705 -4.6132 -0.9763 1.0493 -1.9250 -4.2393 -1.2879" Properties=species:S:1:pos:R:3 pbc="T T T"
Al -1.9010 -2.1270 0.7830
U 0.0000 0.0000 0.0000
Zr -5.7029 -6.3809 2.3489
```

Properties
Total moment: 4.61 μB/f.u.

---

Which of them is the most stable? Correct choice: model i.

---

Model i:
Al7W8: optimized geometry, PBE.

Geometry as extended XYZ:
```
30
Lattice="-0.9712 -3.3141 9.1729 -8.1254 -4.8241 -2.6032 2.7734 -4.0418 -1.1666" Properties=species:S:1:pos:R:3 pbc="T T T"
Al 0.0000 0.0000 0.0000
Al -3.5377 -3.1650 2.5550
Al -5.5589 -4.9732 4.0148
Al -1.0901 -2.5920 0.9946
Al -6.6317 -7.5497 4.9969
Al -2.4510 -4.7932 5.2918
Al -5.2469 -5.3833 0.6896
Al -0.3793 -5.5028 7.2813
Al -3.1616 -6.0900 2.7016
Al -5.9438 -6.6772 -1.8782
Al -1.0762 -6.7967 4.7135
Al -3.8721 -7.3868 0.1113
Al 0.3085 -4.6303 0.4063
Al -5.2330 -9.5880 4.4085
W -1.1801 -2.7395 6.6855
W -1.5236 -2.2081 4.0281
W -2.9903 -4.3590 7.9929
W -3.9960 -2.7299 -0.0417
W -5.1005 -5.4082 6.6115
W -6.1062 -3.7792 -1.4232
W -7.5730 -5.9300 2.5417
W -7.9165 -5.3987 -0.1158
W 0.5808 -4.2256 5.1391
W -1.0333 -4.6725 2.8503
W -2.5629 -7.0381 7.4096
W -2.4570 -4.9730 0.5068
W -3.8662 -7.2070 4.8963
W -3.7602 -5.1418 -2.0064
W -5.2899 -7.5075 2.5528
W -6.9039 -7.9544 0.2641
```

Properties
Total moment: 0.00 μB/f.u.

---

Model ii:
Al7W8: optimized geometry, PBE.

Geometry as extended XYZ:
```
30
Lattice="-3.9376 4.9087 -7.2177 -7.6782 -5.7140 0.3028 -2.2884 3.2586 3.4645" Properties=species:S:1:pos:R:3 pbc="T T T"
Al 0.0000 0.0000 0.0000
Al -2.8514 1.4978 -3.2922
Al -4.6263 -0.3207 -2.7541
Al -4.0754 -1.9780 -0.8314
Al -7.5404 1.1728 -6.0835
Al -6.9894 -0.4845 -4.1608
Al -8.7643 -2.3031 -3.6227
Al -3.9364 4.5257 -2.8362
Al -5.4623 5.4575 -4.7204
Al -7.7372 4.2622 -5.0988
Al -6.9521 1.2267 -1.7252
Al -6.1669 -1.8089 1.6485
Al -8.4418 -3.0041 1.2701
Al -9.9678 -2.0724 -0.6142
W -3.4347 3.2584 -5.3333
W -5.6570 3.1043 -6.6563
W -5.9587 -3.9096 -0.2586
W -8.1811 -4.0636 -1.5816
W -2.7094 0.6639 -0.4099
W -10.0470 0.1552 -4.7780
W -5.6929 2.3707 -3.9736
W -7.0706 -1.5417 -1.2037
W -4.7054 2.3738 -1.3202
W -5.4210 0.3414 0.1187
W -8.4831 2.1119 -3.5690
W -9.1987 0.0796 -2.1302
W -6.8335 3.9950 -2.2466
W -8.2112 0.0826 0.5232
W -3.8571 2.2981 1.3276
W -11.1947 1.7895 -3.0404
```

Properties
Total moment: 0.00 μB/f.u.

---

Which of them is the most stable? Correct choice: model i.

---

Model i:
Al9W4: optimized geometry, PBE.

Geometry as extended XYZ:
```
13
Lattice="-9.3047 -1.0290 -0.3915 -7.5500 -5.3441 1.4928 -8.1180 -1.3444 4.4810" Properties=species:S:1:pos:R:3 pbc="T T T"
Al 0.0000 0.0000 0.0000
Al -6.8682 -1.2112 0.3155
Al -6.0022 -3.3409 1.2455
Al -18.6902 -6.3506 2.8619
Al -11.3252 -3.4999 2.5316
Al -13.6475 -4.2176 3.0507
Al -6.2825 -1.3668 2.7204
Al -18.9705 -4.3766 4.3368
Al -18.1045 -6.5063 5.2668
W -4.1733 -1.2897 0.9329
W -8.7728 -2.7111 1.9611
W -16.1999 -5.0064 3.6213
W -20.7994 -6.4278 4.6495
```

Properties
Total moment: 0.02 μB/f.u.

---

Model ii:
Al9W4: optimized geometry, PBE.

Geometry as extended XYZ:
```
13
Lattice="2.4867 1.4357 9.2720 -2.4867 1.4357 9.2720 0.0000 -2.8714 9.2720" Properties=species:S:1:pos:R:3 pbc="T T T"
Al 0.0000 0.0000 0.0000
Al -1.2325 0.7116 7.1367
Al 1.2325 0.7116 7.1367
Al 0.0000 0.0000 4.6510
Al 0.0000 1.4232 20.6794
Al 0.0000 -1.4232 7.1367
Al 0.0000 0.0000 23.1651
Al -1.2325 -0.7116 20.6794
Al 1.2325 -0.7116 20.6794
W 0.0000 0.0000 9.6615
W 0.0000 0.0000 12.6293
W 0.0000 0.0000 15.1868
W 0.0000 0.0000 18.1546
```

Properties
Total moment: 0.00 μB/f.u.

---

Model iii:
Al9W4: optimized geometry, PBE.

Geometry as extended XYZ:
```
13
Lattice="4.2695 -8.4355 1.0450 7.9125 -4.9474 1.8425 4.6505 -6.1344 5.5876" Properties=species:S:1:pos:R:3 pbc="T T T"
Al 0.0000 0.0000 0.0000
Al 3.5653 -5.8765 1.2428
Al 5.3868 -4.1325 1.6416
Al 5.9470 -6.8956 2.9943
Al 13.0766 -14.7913 4.9610
Al 3.7559 -4.7260 3.5141
Al 10.8855 -12.6217 5.4808
Al 11.4457 -15.3848 6.8336
Al 13.2672 -13.6408 7.2323
W 2.8009 -3.2476 1.4102
W 7.6303 -8.8473 3.8418
W 9.2022 -10.6700 4.6333
W 14.0316 -16.2697 7.0649
```

Properties
Total moment: 0.00 μB/f.u.

---

Which of them is the most stable? Correct choice: model i.